[1]
Crystalline Cs2ZnSiRu at its relaxed geometry. Source: Alexandria, functional GGA-PBE.

Computed properties:
DOS(E_F)   3.70 states/eV/cell
Space group   P4/mmm (123)
DFT total energy   -14.86 eV/f.u.
Raw formation energy   2.819 eV per formula unit

Lattice parameters (Å, degrees): 6.5282 6.5282 4.5703 90.00 90.00 90.00
Closest atoms and distances in Å follow each position.
Fractional positions:
Cs 0.0000 0.5000 0.0000  2 Ru 3.26
Cs 0.5000 0.0000 0.0000  2 Ru 3.26
Zn 0.0000 0.0000 0.5000  8 Cs 3.98
Si 0.5000 0.5000 0.5000  2 Ru 2.29
Ru 0.5000 0.5000 0.0000  2 Si 2.29

***

[2]
Crystalline ZnCoSbRh at its relaxed geometry. Source: Alexandria, functional GGA-PBE.

Computed properties:
DOS(E_F)   5.50 states/eV/cell
Space group   F-43m (216)
DFT total energy   -20.49 eV/f.u.
Raw formation energy   -0.637 eV per formula unit

Lattice parameters (Å, degrees): 6.1951 6.1951 6.1951 90.00 90.00 90.00
Closest atoms and distances in Å follow each position.
Fractional positions:
Zn 0.0000 0.0000 0.0000  4 Co 2.68, 4 Rh 2.68
Zn 0.0000 0.5000 0.5000  4 Co 2.68, 4 Rh 2.68
Zn 0.5000 0.0000 0.5000  4 Co 2.68, 4 Rh 2.68
Zn 0.5000 0.5000 0.0000  4 Co 2.68, 4 Rh 2.68
Co 0.2500 0.2500 0.7500  4 Sb 2.68, 4 Zn 2.68
Co 0.2500 0.7500 0.2500  4 Sb 2.68, 4 Zn 2.68
Co 0.7500 0.2500 0.2500  4 Sb 2.68, 4 Zn 2.68
Co 0.7500 0.7500 0.7500  4 Sb 2.68, 4 Zn 2.68
Sb 0.0000 0.0000 0.5000  4 Co 2.68, 4 Rh 2.68
Sb 0.0000 0.5000 0.0000  4 Co 2.68, 4 Rh 2.68
Sb 0.5000 0.0000 0.0000  4 Co 2.68, 4 Rh 2.68
Sb 0.5000 0.5000 0.5000  4 Co 2.68, 4 Rh 2.68
Rh 0.2500 0.2500 0.2500  4 Sb 2.68, 4 Zn 2.68
Rh 0.2500 0.7500 0.7500  4 Sb 2.68, 4 Zn 2.68
Rh 0.7500 0.2500 0.7500  4 Sb 2.68, 4 Zn 2.68
Rh 0.7500 0.7500 0.2500  4 Sb 2.68, 4 Zn 2.68

***

[3]
Crystalline TmThTlIn at its relaxed geometry. Source: Alexandria, functional GGA-PBE.

Computed properties:
DOS(E_F)   7.24 states/eV/cell
Space group   I-4m2 (119)
DFT total energy   -18.04 eV/f.u.
Energy relative to the elements   -0.260 eV per atom
Excess energy over the best structure of this formula in the dataset   0 meV/atom

Lattice parameters (Å, degrees): 5.0265 5.0265 8.7756 90.00 90.00 90.00
Closest atoms and distances in Å follow each position.
Fractional positions:
Tm 0.0000 0.0000 0.0000  4 Tl 3.34, 4 In 3.34, 4 Th 3.55
Tm 0.5000 0.5000 0.5000  4 Tl 3.34, 4 In 3.34, 4 Th 3.55
Th 0.0000 0.0000 0.5000  4 Tl 3.34, 4 In 3.34, 4 Tm 3.55
Th 0.5000 0.5000 0.0000  4 Tl 3.34, 4 In 3.34, 4 Tm 3.55
Tl 0.0000 0.5000 0.2500  4 Th 3.34, 4 Tm 3.34, 4 In 3.55
Tl 0.5000 0.0000 0.7500  4 Th 3.34, 4 Tm 3.34, 4 In 3.55
In 0.0000 0.5000 0.7500  4 Th 3.34, 4 Tm 3.34, 4 Tl 3.55
In 0.5000 0.0000 0.2500  4 Th 3.34, 4 Tm 3.34, 4 Tl 3.55

***

[4]
Crystalline LiHoTmOs at its relaxed geometry. Source: Alexandria, functional GGA-PBE.

Computed properties:
DOS(E_F)   10.91 states/eV/cell
Space group   F-43m (216)
DFT total energy   -23.29 eV/f.u.
Energy relative to the elements   -0.273 eV per atom

Lattice parameters (Å, degrees): 6.8611 6.8611 6.8611 90.00 90.00 90.00
Closest atoms and distances in Å follow each position.
Fractional positions:
Li 0.0000 0.0000 0.0000  4 Tm 2.97, 4 Ho 2.97
Li 0.0000 0.5000 0.5000  4 Tm 2.97, 4 Ho 2.97
Li 0.5000 0.0000 0.5000  4 Tm 2.97, 4 Ho 2.97
Li 0.5000 0.5000 0.0000  4 Tm 2.97, 4 Ho 2.97
Ho 0.2500 0.2500 0.7500  4 Li 2.97, 4 Os 2.97
Ho 0.2500 0.7500 0.2500  4 Li 2.97, 4 Os 2.97
Ho 0.7500 0.2500 0.2500  4 Li 2.97, 4 Os 2.97
Ho 0.7500 0.7500 0.7500  4 Os 2.97, 4 Li 2.97
Tm 0.2500 0.2500 0.2500  4 Li 2.97, 4 Os 2.97
Tm 0.2500 0.7500 0.7500  4 Li 2.97, 4 Os 2.97
Tm 0.7500 0.2500 0.7500  4 Li 2.97, 4 Os 2.97
Tm 0.7500 0.7500 0.2500  4 Li 2.97, 4 Os 2.97
Os 0.0000 0.0000 0.5000  4 Ho 2.97, 4 Tm 2.97
Os 0.0000 0.5000 0.0000  4 Ho 2.97, 4 Tm 2.97
Os 0.5000 0.0000 0.0000  4 Ho 2.97, 4 Tm 2.97
Os 0.5000 0.5000 0.5000  4 Ho 2.97, 4 Tm 2.97

***

[5]
Crystalline NdAl2Cl8 at its relaxed geometry. Source: Alexandria, functional GGA-PBE.

Computed properties:
DOS(E_F)   0.54 states/eV/cell
Space group   C2/m (12)
DFT total energy   -44.72 eV/f.u.
Raw formation energy   -17.689 eV per formula unit

Lattice parameters (Å, degrees): 8.1840 8.1840 6.5355 97.93 97.93 67.09
Closest atoms and distances in Å follow each position.
Fractional positions:
Nd 0.0000 0.0000 0.0000  6 Cl 2.85-2.87
Al 0.1908 0.1908 0.6548  4 Cl 2.11-2.22
Al 0.8092 0.8092 0.3452  4 Cl 2.11-2.22
Cl 0.0777 0.7067 0.2420  1 Al 2.19
Cl 0.1734 0.1734 0.3111  1 Al 2.22
Cl 0.2933 0.9223 0.7580  1 Al 2.19
Cl 0.3437 0.3437 0.7763  1 Al 2.11
Cl 0.6563 0.6563 0.2237  1 Al 2.11
Cl 0.7067 0.0777 0.2420  1 Al 2.19
Cl 0.8266 0.8266 0.6889  1 Al 2.22
Cl 0.9223 0.2933 0.7580  1 Al 2.19

***

[6]
Crystalline K6GeCl8 at its relaxed geometry. Source: Alexandria, functional GGA-PBE.

Computed properties:
DOS(E_F)   0.00 states/eV/cell
Space group   R-3 (148)
DFT total energy   -51.44 eV/f.u.
Raw formation energy   -25.464 eV per formula unit

Lattice parameters (Å, degrees): 8.1892 8.1892 8.1892 69.20 69.20 69.20
Closest atoms and distances in Å follow each position.
Fractional positions:
K 0.0188 0.4407 0.8010  7 Cl 3.16-3.44
K 0.1990 0.9812 0.5593  7 Cl 3.16-3.44
K 0.4407 0.8010 0.0188  7 Cl 3.16-3.44
K 0.5593 0.1990 0.9812  7 Cl 3.16-3.44
K 0.8010 0.0188 0.4407  7 Cl 3.16-3.44
K 0.9812 0.5593 0.1990  7 Cl 3.16-3.44
Ge 0.5000 0.5000 0.5000  6 Cl 2.73
Cl 0.1592 0.1592 0.1592  6 K 3.16-3.31
Cl 0.1818 0.6614 0.4038  1 Ge 2.73
Cl 0.3386 0.5962 0.8182  1 Ge 2.73
Cl 0.4038 0.1818 0.6614  1 Ge 2.73
Cl 0.5962 0.8182 0.3386  1 Ge 2.73
Cl 0.6614 0.4038 0.1818  1 Ge 2.73
Cl 0.8182 0.3386 0.5962  1 Ge 2.73
Cl 0.8408 0.8408 0.8408  6 K 3.16-3.31

***

[7]
Crystalline La2TbTe3 at its relaxed geometry. Source: Alexandria, functional GGA-PBE.

Computed properties:
DOS(E_F)   8.16 states/eV/cell
Space group   Immm (71)
DFT total energy   -32.87 eV/f.u.
Raw formation energy   -8.964 eV per formula unit
Excess energy over the best structure of this formula in the dataset   8 meV/atom

Lattice parameters (Å, degrees): 4.5026 6.3862 13.5579 90.00 90.00 90.00
Closest atoms and distances in Å follow each position.
Fractional positions:
La 0.0000 0.0000 0.1707  6 Te 3.20-3.24
La 0.0000 0.0000 0.8293  6 Te 3.20-3.24
La 0.5000 0.5000 0.3293  6 Te 3.20-3.24
La 0.5000 0.5000 0.6707  6 Te 3.20-3.24
Tb 0.0000 0.0000 0.5000  6 Te 3.10-3.19
Tb 0.5000 0.5000 0.0000  6 Te 3.10-3.19
Te 0.0000 0.5000 0.1577  2 Tb 3.10, 4 La 3.20-3.24
Te 0.0000 0.5000 0.5000  2 Tb 3.19, 4 La 3.23
Te 0.0000 0.5000 0.8423  2 Tb 3.10, 4 La 3.20-3.24
Te 0.5000 0.0000 0.0000  2 Tb 3.19, 4 La 3.23
Te 0.5000 0.0000 0.3423  2 Tb 3.10, 4 La 3.20-3.24
Te 0.5000 0.0000 0.6577  2 Tb 3.10, 4 La 3.20-3.24

***

[8]
Crystalline DySF at its relaxed geometry. Source: Alexandria, functional GGA-PBE.

Computed properties:
DOS(E_F)   0.00 states/eV/cell
Space group   F-43m (216)
DFT total energy   -19.05 eV/f.u.
Raw formation energy   -8.447 eV per formula unit

Lattice parameters (Å, degrees): 6.1598 6.1598 6.1598 90.00 90.00 90.00
Closest atoms and distances in Å follow each position.
Fractional positions:
Dy 0.0000 0.0000 0.0000  4 S 2.67, 4 F 2.67
Dy 0.0000 0.5000 0.5000  4 S 2.67, 4 F 2.67
Dy 0.5000 0.0000 0.5000  4 S 2.67, 4 F 2.67
Dy 0.5000 0.5000 0.0000  4 S 2.67, 4 F 2.67
S 0.2500 0.2500 0.7500  4 Dy 2.67
S 0.2500 0.7500 0.2500  4 Dy 2.67
S 0.7500 0.2500 0.2500  4 Dy 2.67
S 0.7500 0.7500 0.7500  4 Dy 2.67
F 0.2500 0.2500 0.2500  4 Dy 2.67
F 0.2500 0.7500 0.7500  4 Dy 2.67
F 0.7500 0.2500 0.7500  4 Dy 2.67
F 0.7500 0.7500 0.2500  4 Dy 2.67

***

[9]
Crystalline Tb2Dy3Ho6Er at its relaxed geometry. Source: Alexandria, functional GGA-PBE.

Computed properties:
DOS(E_F)   15.61 states/eV/cell
Space group   C2/m (12)
DFT total energy   -54.89 eV/f.u.
Energy relative to the elements   0.018 eV per atom

Lattice parameters (Å, degrees): 6.1024 6.1024 11.6788 94.97 94.97 119.95
Closest atoms and distances in Å follow each position.
Fractional positions:
Tb 0.1666 0.8334 0.0000  6 Ho 3.52, 3 Tb 3.52-3.53, 3 Er 3.52
Tb 0.8334 0.1666 0.0000  6 Ho 3.52, 3 Tb 3.52-3.53, 3 Er 3.52
Dy 0.0000 0.0000 0.5000  6 Ho 3.52, 6 Dy 3.52
Dy 0.3334 0.6666 0.5000  6 Dy 3.52-3.53, 6 Ho 3.52
Dy 0.6666 0.3334 0.5000  6 Dy 3.52-3.53, 6 Ho 3.52
Ho 0.0834 0.4164 0.7501  6 Ho 3.52-3.53, 2 Tb 3.52, 1 Er 3.52, 3 Dy 3.52
Ho 0.2506 0.2506 0.2501  1 Er 3.52, 3 Dy 3.52, 6 Ho 3.52-3.53, 2 Tb 3.52
Ho 0.4164 0.0834 0.7501  6 Ho 3.52-3.53, 2 Tb 3.52, 1 Er 3.52, 3 Dy 3.52
Ho 0.5836 0.9166 0.2499  6 Ho 3.52-3.53, 2 Tb 3.52, 1 Er 3.52, 3 Dy 3.52
Ho 0.7494 0.7494 0.7499  1 Er 3.52, 3 Dy 3.52, 6 Ho 3.52-3.53, 2 Tb 3.52
Ho 0.9166 0.5836 0.2499  6 Ho 3.52-3.53, 2 Tb 3.52, 1 Er 3.52, 3 Dy 3.52
Er 0.5000 0.5000 0.0000  6 Ho 3.52, 6 Tb 3.52

***

[10]
Crystalline Ac2AlNi12P3 at its relaxed geometry. Source: Alexandria, functional GGA-PBE.

Computed properties:
DOS(E_F)   10.44 states/eV/cell
Space group   R-3m (166)
DFT total energy   -99.93 eV/f.u.
Energy relative to the elements   -0.131 eV per atom

Lattice parameters (Å, degrees): 7.2468 7.2468 7.2468 64.77 64.77 64.77
Closest atoms and distances in Å follow each position.
Fractional positions:
Ac 0.1159 0.1159 0.1159  6 Ni 2.83-3.03
Ac 0.8841 0.8841 0.8841  6 Ni 2.83-3.03
Al 0.5000 0.5000 0.5000  6 Ni 2.28
Ni 0.1355 0.6169 0.6169  1 P 2.10, 1 Al 2.28
Ni 0.1688 0.1688 0.5957  2 P 2.13
Ni 0.1688 0.5957 0.1688  2 P 2.13
Ni 0.3831 0.3831 0.8645  1 P 2.10, 1 Al 2.28
Ni 0.3831 0.8645 0.3831  1 P 2.10, 1 Al 2.28
Ni 0.4043 0.8312 0.8312  2 P 2.13
Ni 0.5957 0.1688 0.1688  2 P 2.13
Ni 0.6169 0.1355 0.6169  1 P 2.10, 1 Al 2.28
Ni 0.6169 0.6169 0.1355  1 P 2.10, 1 Al 2.28
Ni 0.8312 0.4043 0.8312  2 P 2.13
Ni 0.8312 0.8312 0.4043  2 P 2.13
Ni 0.8645 0.3831 0.3831  1 P 2.10, 1 Al 2.28
P 0.0000 0.5000 0.5000  6 Ni 2.10-2.13
P 0.5000 0.0000 0.5000  6 Ni 2.10-2.13
P 0.5000 0.5000 0.0000  6 Ni 2.10-2.13

***

[11]
Crystalline Cu6Pd at its relaxed geometry. Source: Alexandria, functional GGA-PBE.

Computed properties:
DOS(E_F)   4.86 states/eV/cell
Space group   Im-3m (229)
DFT total energy   -23.03 eV/f.u.
Energy relative to the elements   0.963 eV per atom
Excess energy over the best structure of this formula in the dataset   985 meV/atom

Lattice parameters (Å, degrees): 6.3622 6.3622 6.3622 90.00 90.00 90.00
Closest atoms and distances in Å follow each position.
Fractional positions:
Cu 0.0000 0.2500 0.5000  4 Cu 2.25
Cu 0.0000 0.5000 0.2500  4 Cu 2.25
Cu 0.0000 0.5000 0.7500  4 Cu 2.25
Cu 0.0000 0.7500 0.5000  4 Cu 2.25
Cu 0.2500 0.0000 0.5000  4 Cu 2.25
Cu 0.2500 0.5000 0.0000  4 Cu 2.25
Cu 0.5000 0.0000 0.2500  4 Cu 2.25
Cu 0.5000 0.0000 0.7500  4 Cu 2.25
Cu 0.5000 0.2500 0.0000  4 Cu 2.25
Cu 0.5000 0.7500 0.0000  4 Cu 2.25
Cu 0.7500 0.0000 0.5000  4 Cu 2.25
Cu 0.7500 0.5000 0.0000  4 Cu 2.25
Pd 0.0000 0.0000 0.0000  24 Cu 3.56
Pd 0.5000 0.5000 0.5000  24 Cu 3.56

***

[12]
Crystalline Pm12Dy7Tl at its relaxed geometry. Source: Alexandria, functional GGA-PBE.

Computed properties:
DOS(E_F)   27.16 states/eV/cell
Space group   R-3m (166)
DFT total energy   -88.30 eV/f.u.
Energy relative to the elements   0.165 eV per atom

Lattice parameters (Å, degrees): 8.9073 8.9073 8.9073 82.20 82.20 82.20
Closest atoms and distances in Å follow each position.
Fractional positions:
Pm 0.0375 0.0375 0.6528  1 Dy 3.04, 2 Pm 3.07-3.35
Pm 0.0375 0.6528 0.0375  1 Dy 3.04, 2 Pm 3.07-3.35
Pm 0.2828 0.2828 0.6820  1 Tl 3.07, 1 Pm 3.35
Pm 0.2828 0.6820 0.2828  1 Tl 3.07, 1 Pm 3.35
Pm 0.3180 0.7172 0.7172  1 Tl 3.07, 1 Pm 3.35
Pm 0.3472 0.9625 0.9625  1 Dy 3.04, 2 Pm 3.07-3.35
Pm 0.6528 0.0375 0.0375  1 Dy 3.04, 2 Pm 3.07-3.35
Pm 0.6820 0.2828 0.2828  1 Tl 3.07, 1 Pm 3.35
Pm 0.7172 0.3180 0.7172  1 Tl 3.07, 1 Pm 3.35
Pm 0.7172 0.7172 0.3180  1 Tl 3.07, 1 Pm 3.35
Pm 0.9625 0.3472 0.9625  1 Dy 3.04, 2 Pm 3.07-3.35
Pm 0.9625 0.9625 0.3472  1 Dy 3.04, 2 Pm 3.07-3.35
Dy 0.0000 0.0000 0.0000  6 Pm 3.04
Dy 0.0443 0.3604 0.3604  7 Pm 3.57-3.73, 3 Dy 3.69-3.70
Dy 0.3604 0.0443 0.3604  7 Pm 3.57-3.73, 3 Dy 3.69-3.70
Dy 0.3604 0.3604 0.0443  7 Pm 3.57-3.73, 3 Dy 3.69-3.70
Dy 0.6396 0.6396 0.9557  7 Pm 3.57-3.73, 3 Dy 3.69-3.70
Dy 0.6396 0.9557 0.6396  7 Pm 3.57-3.73, 3 Dy 3.69-3.70
Dy 0.9557 0.6395 0.6396  7 Pm 3.57-3.73, 3 Dy 3.69-3.70
Tl 0.5000 0.5000 0.5000  6 Pm 3.07

***

- Which value of DFT total energy does entry 9 give?
  -54.89 eV/f.u.